[1]
KTbAgS3 | the Open Quantum Materials Database | PBE-GGA | optimized geometry; SG = Cmcm, No. 63; final energy = -4.635 eV/atom; calculated volume = 304 Å³/cell; size of the total moment = 0.15 μB per formula unit; crystal system = orthorhombic
1.0
2.019 -7.174 0.000
2.019 7.174 0.000
0.000 0.000 10.502
S K Tb Ag
6 2 2 2
direct
0.571 0.429 0.750
0.127 0.873 0.051
0.873 0.127 0.551
0.127 0.873 0.449
0.429 0.571 0.250
0.873 0.127 0.949
0.752 0.248 0.250
0.248 0.752 0.750
0.500 0.500 0.500
0.500 0.500 0.000
0.965 0.035 0.750
0.035 0.965 0.250


[2]
CuAgBiPd | the Open Quantum Materials Database | PBE-GGA | optimized geometry; SG = F-43m, No. 216; final energy = -3.968 eV/atom; calculated volume = 74 Å³/cell; crystal system = cubic; relative energy among the computed polymorphs = 0 meV/atom
1.0
-0.926 0.898 4.526
-3.152 3.301 1.147
-4.146 -1.245 1.845
Cu Pd Ag Bi
1 1 1 1
direct
0.750 0.750 0.750
0.250 0.250 0.250
0.500 0.500 0.500
0.000 0.000 0.000


[3]
Zr2FeBi2Pd | the Open Quantum Materials Database | PBE-GGA | optimized geometry; SG = I-42d, No. 122; final energy = -6.872 eV/atom; calculated volume = 259 Å³/cell; size of the total moment = 0.00 μB per formula unit; crystal system = tetragonal
1.0
-6.377 -3.899 2.180
-5.653 5.103 1.617
4.640 -0.761 -6.206
Pd Fe Bi Zr
2 2 4 4
direct
0.125 0.375 0.750
0.375 0.125 0.250
0.875 0.625 0.250
0.625 0.875 0.750
0.750 0.988 0.238
0.250 0.512 0.262
0.512 0.250 0.762
0.988 0.750 0.738
0.987 0.250 0.237
0.513 0.750 0.263
0.750 0.513 0.763
0.250 0.987 0.737


[4]
BaHoTe | the Open Quantum Materials Database | PBE-GGA | optimized geometry; SG = F-43m, No. 216; final energy = -3.657 eV/atom; calculated volume = 112 Å³/cell; size of the total moment = 0.03 μB per formula unit; crystal system = cubic; relative energy among the computed polymorphs = 0 meV/atom
1.0
-5.266 -0.610 1.094
-2.825 4.119 2.086
-3.703 2.545 -3.018
Ba Te Ho
1 1 1
direct
0.250 0.250 0.250
0.000 0.000 0.000
0.750 0.750 0.750


[5]
K2NdTlF6 | the Open Quantum Materials Database | PBE-GGA | optimized geometry; SG = Fm-3m, No. 225; final energy = -4.972 eV/atom; calculated volume = 206 Å³/cell; size of the total moment = 0.00 μB per formula unit; crystal system = cubic
1.0
5.545 -2.424 -2.703
2.548 -5.703 2.215
-0.259 -5.436 -3.783
F Tl K Nd
6 1 2 1
direct
0.764 0.764 0.236
0.236 0.764 0.764
0.764 0.236 0.764
0.236 0.764 0.236
0.236 0.236 0.764
0.764 0.236 0.236
0.500 0.500 0.500
0.250 0.250 0.250
0.750 0.750 0.750
0.000 0.000 0.000


[6]
Er2Zr2Co | the Open Quantum Materials Database | PBE-GGA | optimized geometry; SG = C2/m, No. 12; final energy = -6.712 eV/atom; calculated volume = 233 Å³/cell; size of the total moment = 0.01 μB per formula unit; crystal system = monoclinic
1.0
5.559 -2.238 0.000
5.559 2.238 0.000
-5.333 0.000 9.374
Zr Co Er
4 2 4
direct
0.636 0.636 0.965
0.153 0.153 0.613
0.364 0.364 0.035
0.847 0.847 0.387
0.118 0.118 0.829
0.882 0.882 0.171
0.458 0.458 0.633
0.542 0.542 0.367
0.859 0.859 0.820
0.141 0.141 0.180


[7]
PrZnAsO | the Open Quantum Materials Database | PBE-GGA | optimized geometry; SG = Pmc2_1, No. 26; final energy = -5.465 eV/atom; calculated volume = 173 Å³/cell; size of the total moment = 0.00 μB per formula unit; crystal system = orthorhombic
1.0
-1.607 -3.960 1.120
5.957 -2.417 -0.003
0.583 1.430 5.894
As O Pr Zn
2 2 2 2
direct
0.000 0.223 0.922
0.000 0.777 0.422
0.500 0.352 0.379
0.500 0.648 0.879
0.000 0.755 0.924
0.000 0.245 0.424
0.500 0.361 0.030
0.500 0.639 0.530


[8]
Tb2Re2C3 | the Open Quantum Materials Database | PBE-GGA | optimized geometry; SG = C2/m, No. 12; final energy = -9.132 eV/atom; calculated volume = 101 Å³/cell; size of the total moment = 0.00 μB per formula unit; crystal system = monoclinic
1.0
5.919 -1.648 0.000
5.919 1.648 0.000
-2.352 0.000 5.192
Re C Tb
2 3 2
direct
0.156 0.156 0.821
0.844 0.844 0.179
0.000 0.000 0.500
0.752 0.752 0.768
0.248 0.248 0.232
0.391 0.391 0.684
0.609 0.609 0.316


[9]
PrNd2Ni7Pt2 | the Open Quantum Materials Database | PBE-GGA | optimized geometry; SG = R-3m, No. 166; final energy = -5.884 eV/atom; calculated volume = 192 Å³/cell; size of the total moment = 0.78 μB per formula unit; crystal system = trigonal
1.0
2.572 1.485 8.366
-2.572 1.485 8.366
0.000 -2.970 8.366
Ni Nd Pt Pr
7 2 2 1
direct
0.087 0.585 0.585
0.913 0.415 0.415
0.415 0.913 0.415
0.500 0.500 0.500
0.415 0.415 0.913
0.585 0.585 0.087
0.585 0.087 0.585
0.140 0.140 0.140
0.860 0.860 0.860
0.332 0.332 0.332
0.668 0.668 0.668
0.000 0.000 0.000


[10]
BeHg3S4 | the Open Quantum Materials Database | PBE-GGA | optimized geometry; SG = I-42m, No. 121; final energy = -2.975 eV/atom; calculated volume = 184 Å³/cell; crystal system = tetragonal
1.0
-2.850 2.850 5.654
2.850 -2.850 5.654
2.850 2.850 -5.654
Hg Be S
3 1 4
direct
0.500 0.500 0.000
0.250 0.750 0.500
0.750 0.250 0.500
0.000 0.000 0.000
0.325 0.325 0.430
0.675 0.106 0.000
0.106 0.675 0.000
0.894 0.894 0.570


[11]
HfCuGeIr | the Open Quantum Materials Database | PBE-GGA | optimized geometry; SG = F-43m, No. 216; final energy = -7.131 eV/atom; calculated volume = 61 Å³/cell; size of the total moment = 0.00 μB per formula unit; crystal system = cubic; relative energy among the computed polymorphs = 85 meV/atom
1.0
-0.109 -3.670 2.465
0.234 0.288 4.406
-3.558 -0.901 2.467
Ir Cu Ge Hf
1 1 1 1
direct
0.000 0.000 0.000
0.750 0.750 0.750
0.250 0.250 0.250
0.500 0.500 0.500


[12]
SrPrAl4Ni2 | the Open Quantum Materials Database | PBE-GGA | optimized geometry; SG = Amm2, No. 38; final energy = -4.564 eV/atom; calculated volume = 161 Å³/cell; size of the total moment = 0.00 μB per formula unit; crystal system = orthorhombic
1.0
-0.520 6.650 -2.389
4.470 1.616 3.527
5.903 0.424 -0.104
Al Ni Sr Pr
4 2 1 1
direct
0.688 0.175 0.175
0.312 0.175 0.175
0.193 0.825 0.825
0.807 0.825 0.825
0.500 0.721 0.721
0.000 0.280 0.280
0.000 0.549 0.549
0.500 0.450 0.450


[13]
RbTbSO | the Open Quantum Materials Database | PBE-GGA | optimized geometry; SG = Pmc2_1, No. 26; final energy = -5.859 eV/atom; calculated volume = 243 Å³/cell; size of the total moment = 0.00 μB per formula unit; crystal system = orthorhombic; relative energy among the computed polymorphs = 81 meV/atom
1.0
4.420 0.000 0.000
0.000 8.308 0.000
0.000 0.000 6.612
Rb S Tb O
2 2 2 2
direct
0.000 0.691 0.606
0.000 0.309 0.106
0.000 0.295 0.616
0.000 0.705 0.116
0.500 0.874 0.043
0.500 0.126 0.543
0.500 0.916 0.726
0.500 0.084 0.226


[14]
Pu3I7Cl | the Open Quantum Materials Database | PBE-GGA | optimized geometry; SG = P3m1, No. 156; final energy = -6.262 eV/atom; calculated volume = 511 Å³/cell; size of the total moment = 15.99 μB per formula unit; crystal system = trigonal
1.0
-6.052 -6.240 1.931
6.229 -1.594 -6.161
4.500 -2.738 5.258
I Pu Cl
7 3 1
direct
0.830 0.661 0.461
0.667 0.333 0.980
0.169 0.338 0.981
0.339 0.170 0.461
0.169 0.831 0.981
0.662 0.831 0.981
0.830 0.170 0.461
0.007 0.503 0.225
0.497 0.503 0.225
0.497 0.993 0.225
0.333 0.667 0.402


[15]
SmDyZr2Sb2 | the Open Quantum Materials Database | PBE-GGA | optimized geometry; SG = I4mm, No. 107; final energy = -6.586 eV/atom; calculated volume = 155 Å³/cell; size of the total moment = 0.03 μB per formula unit; crystal system = tetragonal
1.0
-2.148 2.148 8.390
2.148 -2.148 8.390
2.148 2.148 -8.390
Sb Sm Zr Dy
2 1 2 1
direct
0.132 0.132 0.000
0.869 0.869 0.000
0.322 0.322 0.000
0.501 0.001 0.500
0.001 0.501 0.500
0.676 0.676 0.000


[16]
ThReSn | the Open Quantum Materials Database | PBE-GGA | optimized geometry; SG = F-43m, No. 216; final energy = -6.838 eV/atom; calculated volume = 85 Å³/cell; size of the total moment = 0.74 μB per formula unit; crystal system = cubic
1.0
-4.353 0.364 2.300
-4.169 0.253 -2.632
-3.135 -3.813 -0.031
Re Th Sn
1 1 1
direct
0.250 0.250 0.250
0.000 0.000 0.000
0.750 0.750 0.750


[17]
Gd2YAl3Cu2Pd | the Open Quantum Materials Database | PBE-GGA | optimized geometry; SG = Amm2, No. 38; final energy = -4.975 eV/atom; calculated volume = 177 Å³/cell; size of the total moment = 0.02 μB per formula unit; crystal system = orthorhombic
1.0
4.095 0.000 0.000
0.000 6.145 3.526
0.000 -6.145 3.526
Al Gd Pd Cu Y
3 2 1 2 1
direct
0.500 0.761 0.999
0.500 0.239 0.239
0.500 0.999 0.761
0.000 0.001 0.419
0.000 0.419 0.001
0.000 0.000 0.000
0.500 0.334 0.667
0.500 0.667 0.334
0.000 0.581 0.581


[18]
CdInPd2 | the Open Quantum Materials Database | PBE-GGA | optimized geometry; SG = P6_3/mmc, No. 194; final energy = -3.655 eV/atom; calculated volume = 155 Å³/cell; crystal system = hexagonal; relative energy among the computed polymorphs = 325 meV/atom
1.0
2.356 -4.081 0.000
2.356 4.081 0.000
0.000 0.000 8.051
Cd In Pd
2 2 4
direct
0.000 0.000 0.250
0.000 0.000 0.750
0.333 0.667 0.750
0.667 0.333 0.250
0.333 0.667 0.417
0.333 0.667 0.083
0.667 0.333 0.917
0.667 0.333 0.583


[19]
PmNdAsO | the Open Quantum Materials Database | PBE-GGA | optimized geometry; SG = P4/nmm, No. 129; final energy = -6.618 eV/atom; calculated volume = 182 Å³/cell; size of the total moment = 0.00 μB per formula unit; crystal system = tetragonal; relative energy among the computed polymorphs = 77 meV/atom
1.0
4.417 0.000 0.000
0.000 4.417 0.000
0.000 0.000 9.305
Nd Pm As O
2 2 2 2
direct
0.250 0.250 0.105
0.750 0.750 0.895
0.250 0.750 0.500
0.750 0.250 0.500
0.250 0.250 0.707
0.750 0.750 0.293
0.750 0.250 0.000
0.250 0.750 0.000


[20]
NaYCoSb | the Open Quantum Materials Database | PBE-GGA | optimized geometry; SG = F-43m, No. 216; final energy = -4.948 eV/atom; calculated volume = 75 Å³/cell; size of the total moment = 0.00 μB per formula unit; crystal system = cubic; relative energy among the computed polymorphs = 0 meV/atom
1.0
0.000 3.344 3.344
3.344 0.000 3.344
3.344 3.344 0.000
Sb Y Na Co
1 1 1 1
direct
0.000 0.000 0.000
0.500 0.500 0.500
0.750 0.750 0.750
0.250 0.250 0.250